No. 1
The following is a PBE-GGA calculation of a relaxed TeSN2Cl crystal, from Alexandria via LeMat-Bulk.

Cell and atoms, written as extended XYZ:
```
5
Lattice="4.012 0.000 0.000 0.000 4.012 0.000 0.000 0.000 4.629" Properties=species:S:1:pos:R:3 pbc="T T T"
N 0.000 2.006 0.000
N 2.006 0.000 0.000
S 0.000 0.000 2.315
Te 2.006 2.006 2.315
Cl 0.000 0.000 0.000
```

Summary:
The total moment comes out at 0.137 μB/f.u. Its symmetry is No. 123. For the energy above the lowest structure with this stoichiometry, the calculation gives 0.631 eV/atom. The calculation puts the uncorrected formation energy at 2145 meV per atom. The value obtained for the calculated volume is 74.5 Å³ per cell.

***

No. 2
The following is a PBE-GGA calculation of a relaxed TeS2NCl crystal, from Alexandria via LeMat-Bulk.

Cell and atoms, written as extended XYZ:
```
5
Lattice="5.254 0.000 0.000 0.000 5.254 0.000 0.000 0.000 4.014" Properties=species:S:1:pos:R:3 pbc="T T T"
N 0.000 0.000 2.007
S 0.000 2.627 0.000
S 2.627 0.000 0.000
Te 0.000 0.000 0.000
Cl 2.627 2.627 2.007
```

Summary:
The total moment comes out at 3.148 μB/f.u. Its symmetry is No. 123. For the energy above the lowest structure with this stoichiometry, the calculation gives 0.209 eV/atom. The calculation puts the uncorrected formation energy at 1257 meV per atom. The value obtained for the calculated volume is 110.8 Å³ per cell.

***

No. 3
The following is a PBE-GGA calculation of a relaxed TeSN2Cl crystal, from Alexandria via LeMat-Bulk.

Cell and atoms, written as extended XYZ:
```
5
Lattice="3.892 0.000 0.000 0.000 3.892 0.000 0.000 0.000 5.922" Properties=species:S:1:pos:R:3 pbc="T T T"
N 0.000 1.946 0.000
N 1.946 0.000 0.000
S 0.000 0.000 2.961
Te 0.000 0.000 0.000
Cl 1.946 1.946 2.961
```

Summary:
The total moment comes out at 0.319 μB/f.u. Its symmetry is No. 123. For the energy above the lowest structure with this stoichiometry, the calculation gives 0.000 eV/atom. The calculation puts the uncorrected formation energy at 1514 meV per atom. The value obtained for the calculated volume is 89.7 Å³ per cell.

***

> Number 2 is which compound?

TeS2NCl